Record 1
The following is a PBE calculation of a geometry-optimized TaTlBr2 structure, from Alexandria via LeMat-Bulk. Values from VASP.

Results
total moment: 0.23 μB per atom
DFT total energy: -4.5256 eV/atom
formation energy from raw total energies: -0.1344 eV per atom
space group: No. 8

Geometry as Quantum ESPRESSO input:
```
&SYSTEM
  ibrav = 0, nat = 4, ntyp = 3
/
ATOMIC_SPECIES
Br 79.90 Br.upf
Ta 180.95 Ta.upf
Tl 204.38 Tl.upf
CELL_PARAMETERS angstrom
7.441 0.055 0.098
6.696 3.246 0.098
5.013 1.171 5.318
ATOMIC_POSITIONS crystal
Br 0.846 0.846 0.631
Br 0.006 0.006 0.915
Ta 0.458 0.458 0.709
Tl 0.190 0.190 0.245
```

---

Record 2
The following is a PBE calculation of a geometry-optimized Sm5Zn4Ir structure, from Alexandria via LeMat-Bulk. Values from VASP.

Results
total moment: 0.00 μB per atom
DFT total energy: -4.1539 eV/atom
space group: No. 123

Geometry as Quantum ESPRESSO input:
```
&SYSTEM
  ibrav = 0, nat = 10, ntyp = 3
/
ATOMIC_SPECIES
Zn 65.41 Zn.upf
Sm 150.36 Sm.upf
Ir 192.22 Ir.upf
CELL_PARAMETERS angstrom
-3.019 1.700 -1.039
-1.529 -0.766 3.187
6.407 15.534 6.806
ATOMIC_POSITIONS crystal
Zn 0.000 0.000 0.602
Zn 0.000 0.000 0.199
Zn 0.000 0.000 0.801
Zn 0.000 0.000 0.398
Sm 0.500 0.500 0.909
Sm 0.500 0.500 0.500
Sm 0.500 0.500 0.702
Sm 0.500 0.500 0.091
Sm 0.500 0.500 0.298
Ir 0.000 0.000 0.000
```

---

Record 3
The following is a PBE calculation of a geometry-optimized TiSbBr3 structure, from Alexandria via LeMat-Bulk. Values from VASP.

Results
total moment: 0.80 μB per atom
DFT total energy: -3.6942 eV/atom
formation energy from raw total energies: -0.2870 eV per atom
space group: No. 221

Geometry as Quantum ESPRESSO input:
```
&SYSTEM
  ibrav = 0, nat = 5, ntyp = 3
/
ATOMIC_SPECIES
Br 79.90 Br.upf
Sb 121.76 Sb.upf
Ti 47.87 Ti.upf
CELL_PARAMETERS angstrom
-3.688 -2.875 -2.431
2.310 -4.415 1.718
-2.974 0.136 4.349
ATOMIC_POSITIONS crystal
Br 0.500 0.000 0.000
Br 0.000 0.500 0.000
Br 0.000 0.000 0.500
Sb 0.500 0.500 0.500
Ti 0.000 0.000 0.000
```

---

Record 4
The following is a PBE calculation of a geometry-optimized SmSc2Cd2 structure, from Alexandria via LeMat-Bulk. Values from VASP.

Results
total moment: 0.00 μB per atom
DFT total energy: -4.0519 eV/atom
space group: No. 11

Geometry as Quantum ESPRESSO input:
```
&SYSTEM
  ibrav = 0, nat = 10, ntyp = 3
/
ATOMIC_SPECIES
Cd 112.41 Cd.upf
Sc 44.96 Sc.upf
Sm 150.36 Sm.upf
CELL_PARAMETERS angstrom
3.520 0.000 -0.472
0.000 5.227 0.000
0.020 0.000 13.524
ATOMIC_POSITIONS crystal
Cd 0.360 0.250 0.720
Cd 0.453 0.750 0.907
Cd 0.547 0.250 0.093
Cd 0.640 0.750 0.280
Sc 0.764 0.250 0.527
Sc 0.236 0.750 0.473
Sc 0.046 0.750 0.092
Sc 0.954 0.250 0.908
Sm 0.849 0.750 0.698
Sm 0.151 0.250 0.302
```

---

Record 5
The following is a PBE calculation of a geometry-optimized AcGaIr structure, from Alexandria via LeMat-Bulk. Values from VASP.

Results
total moment: 0.00 μB per atom
DFT total energy: -6.0051 eV/atom
space group: No. 62

Geometry as Quantum ESPRESSO input:
```
&SYSTEM
  ibrav = 0, nat = 12, ntyp = 3
/
ATOMIC_SPECIES
Ir 192.22 Ir.upf
Ac 227.00 Ac.upf
Ga 69.72 Ga.upf
CELL_PARAMETERS angstrom
-2.838 -2.885 -2.093
2.283 -4.338 2.885
-7.695 1.508 8.357
ATOMIC_POSITIONS crystal
Ir 0.750 0.375 0.552
Ir 0.750 0.875 0.948
Ir 0.250 0.125 0.052
Ir 0.250 0.625 0.448
Ac 0.750 0.369 0.869
Ac 0.250 0.631 0.131
Ac 0.250 0.131 0.369
Ac 0.750 0.869 0.631
Ga 0.750 0.637 0.356
Ga 0.750 0.137 0.144
Ga 0.250 0.863 0.856
Ga 0.250 0.363 0.644
```

---

Record 6
The following is a PBE calculation of a geometry-optimized AcSnHgRh3 structure, from Alexandria via LeMat-Bulk. Values from VASP.

Results
total moment: 0.00 μB per atom
DFT total energy: -5.2771 eV/atom
space group: No. 63

Geometry as Quantum ESPRESSO input:
```
&SYSTEM
  ibrav = 0, nat = 12, ntyp = 4
/
ATOMIC_SPECIES
Rh 102.91 Rh.upf
Hg 200.59 Hg.upf
Ac 227.00 Ac.upf
Sn 118.71 Sn.upf
CELL_PARAMETERS angstrom
6.471 0.000 0.000
0.000 6.664 0.000
0.000 -3.332 6.232
ATOMIC_POSITIONS crystal
Rh 0.250 0.156 0.312
Rh 0.500 0.709 0.000
Rh 0.750 0.844 0.688
Rh 0.000 0.709 0.000
Rh 0.000 0.291 0.000
Rh 0.500 0.291 0.000
Hg 0.750 0.073 0.147
Hg 0.250 0.927 0.853
Ac 0.250 0.677 0.355
Ac 0.750 0.323 0.645
Sn 0.250 0.365 0.730
Sn 0.750 0.635 0.270
```

---

Record 7
The following is a PBE calculation of a geometry-optimized HoNiC structure, from Alexandria via LeMat-Bulk. Values from VASP.

Results
total moment: 0.00 μB per atom
DFT total energy: -6.5092 eV/atom
space group: No. 31

Geometry as Quantum ESPRESSO input:
```
&SYSTEM
  ibrav = 0, nat = 18, ntyp = 3
/
ATOMIC_SPECIES
Ho 164.93 Ho.upf
C 12.01 C.upf
Ni 58.69 Ni.upf
CELL_PARAMETERS angstrom
3.208 0.000 0.000
0.000 5.015 0.000
0.000 0.000 16.003
ATOMIC_POSITIONS crystal
Ho 0.500 0.618 0.373
Ho 0.500 0.114 0.691
Ho 0.500 0.585 0.566
Ho 0.000 0.382 0.873
Ho 0.000 0.886 0.191
Ho 0.000 0.415 0.066
C 0.500 0.141 0.955
C 0.500 0.059 0.294
C 0.500 0.766 0.046
C 0.000 0.859 0.455
C 0.000 0.234 0.546
C 0.000 0.941 0.794
Ni 0.000 0.923 0.994
Ni 0.500 0.908 0.858
Ni 0.500 0.352 0.223
Ni 0.000 0.092 0.358
Ni 0.000 0.648 0.723
Ni 0.500 0.077 0.494
```

---

Record 8
The following is a PBE calculation of a geometry-optimized Sr2MnPb structure, from Alexandria via LeMat-Bulk. Values from VASP.

Results
total moment: 1.01 μB per atom
DFT total energy: -4.0672 eV/atom
space group: No. 6

Geometry as Quantum ESPRESSO input:
```
&SYSTEM
  ibrav = 0, nat = 4, ntyp = 3
/
ATOMIC_SPECIES
Sr 87.62 Sr.upf
Pb 207.20 Pb.upf
Mn 54.94 Mn.upf
CELL_PARAMETERS angstrom
4.723 0.000 0.000
0.000 4.937 0.003
0.000 2.459 6.088
ATOMIC_POSITIONS crystal
Sr 0.500 0.269 0.336
Sr 0.000 0.986 0.905
Pb 0.500 0.561 0.753
Mn 0.000 0.684 0.506
```

---

Record 9
The following is a PBE calculation of a geometry-optimized Tb7Pm3Mg structure, from Alexandria via LeMat-Bulk. Values from VASP.

Results
total moment: 0.00 μB per atom
DFT total energy: -4.2064 eV/atom
space group: No. 156

Geometry as Quantum ESPRESSO input:
```
&SYSTEM
  ibrav = 0, nat = 11, ntyp = 3
/
ATOMIC_SPECIES
Pm 145.00 Pm.upf
Tb 158.93 Tb.upf
Mg 24.30 Mg.upf
CELL_PARAMETERS angstrom
-5.162 -6.048 3.378
0.114 -3.504 -6.099
4.827 -1.365 4.932
ATOMIC_POSITIONS crystal
Pm 0.785 0.501 0.003
Pm 0.785 0.997 0.499
Pm 0.785 0.501 0.499
Tb 0.445 0.338 0.169
Tb 0.445 0.831 0.169
Tb 0.118 0.667 0.333
Tb 0.122 0.666 0.833
Tb 0.445 0.831 0.662
Tb 0.122 0.167 0.334
Tb 0.122 0.167 0.833
Mg 0.443 0.333 0.667
```

---

Record 10
The following is a PBE calculation of a geometry-optimized TcOs3 structure, from Alexandria via LeMat-Bulk. Values from VASP.

Results
total moment: 0.00 μB per atom
DFT total energy: -10.9364 eV/atom
space group: No. 221

Geometry as Quantum ESPRESSO input:
```
&SYSTEM
  ibrav = 0, nat = 4, ntyp = 2
/
ATOMIC_SPECIES
Os 190.23 Os.upf
Tc 98.00 Tc.upf
CELL_PARAMETERS angstrom
-3.558 1.220 -0.874
-1.310 -1.428 3.340
0.732 3.374 1.730
ATOMIC_POSITIONS crystal
Os 0.000 0.500 0.500
Os 0.500 0.000 0.500
Os 0.000 0.000 0.000
Tc 0.500 0.500 0.000
```

---

Record 11
The following is a PBE calculation of a geometry-optimized CdCuNi2S structure, from Alexandria via LeMat-Bulk. Values from VASP.

Results
total moment: 0.20 μB per atom
DFT total energy: -3.2435 eV/atom
formation energy from raw total energies: 0.8968 eV per atom
space group: No. 123

Geometry as Quantum ESPRESSO input:
```
&SYSTEM
  ibrav = 0, nat = 5, ntyp = 4
/
ATOMIC_SPECIES
Cd 112.41 Cd.upf
S 32.06 S.upf
Ni 58.69 Ni.upf
Cu 63.55 Cu.upf
CELL_PARAMETERS angstrom
-3.727 -1.971 -1.163
-1.183 -0.491 4.623
-2.019 3.878 -0.104
ATOMIC_POSITIONS crystal
Cd 0.000 0.500 0.000
S 0.500 0.500 0.500
Ni 0.500 0.000 0.000
Ni 0.000 0.000 0.500
Cu 0.000 0.000 0.000
```

---

Record 12
The following is a PBE calculation of a geometry-optimized ZnCu2Ni structure, from Alexandria via LeMat-Bulk. Values from VASP.

Results
total moment: 0.00 μB per atom
DFT total energy: -3.8509 eV/atom
space group: No. 10

Geometry as Quantum ESPRESSO input:
```
&SYSTEM
  ibrav = 0, nat = 4, ntyp = 3
/
ATOMIC_SPECIES
Cu 63.55 Cu.upf
Ni 58.69 Ni.upf
Zn 65.41 Zn.upf
CELL_PARAMETERS angstrom
4.242 0.000 0.000
0.000 2.557 -0.112
0.000 0.593 4.452
ATOMIC_POSITIONS crystal
Cu 0.000 0.999 0.005
Cu 0.000 0.501 0.495
Ni 0.500 0.250 0.250
Zn 0.500 0.750 0.750
```

---

Question: Which of these has the highest total moment?
Answer: Sr2MnPb